PBE SmErCdOs, relaxed; N(E_F) = 2.9 states/eV/cell; calculated formation energy = -1.070 eV per formula unit; energy relative to the lowest polymorph listed for this composition = 0.00 eV/f.u.; space-group type = P4mm
1.0
-2.3038 0.4563 2.5479
2.0578 -1.7462 2.1734
3.5557 6.6986 2.0153
Os Er Sm Cd
1 1 1 1
Cartesian
1.9961 3.7606 1.1314
1.1481 1.7497 3.0811
2.6627 4.6031 3.9395
0.2929 0.5519 0.1660